! Ho3CoIr8 GGA-PBE optimized geometry; values from VASP
&SYSTEM
  ibrav = 0, nat = 12, ntyp = 3
/
ATOMIC_SPECIES
Ho 164.93 Ho.upf
Co 58.93 Co.upf
Ir 192.22 Ir.upf
ATOMIC_POSITIONS crystal
Ho 0.000 0.000 0.000
Ho 0.130 0.130 0.130
Ho 0.516 0.516 0.516
Co 0.651 0.651 0.651
Ir 0.067 0.566 0.566
Ir 0.068 0.068 0.569
Ir 0.068 0.569 0.068
Ir 0.316 0.316 0.316
Ir 0.566 0.067 0.566
Ir 0.566 0.566 0.067
Ir 0.569 0.068 0.068
Ir 0.817 0.817 0.817
CELL_PARAMETERS angstrom
2.651 1.531 8.681
-2.651 1.531 8.681
0.000 -3.061 8.681
! * SG: R3m
! * E_tot: -8.134 eV per atom

---

! Mn2NiP GGA-PBE optimized geometry; values from VASP
&SYSTEM
  ibrav = 0, nat = 4, ntyp = 3
/
ATOMIC_SPECIES
Mn 54.94 Mn.upf
Ni 58.69 Ni.upf
P 30.97 P.upf
ATOMIC_POSITIONS crystal
Mn 0.245 0.245 0.245
Mn 0.755 0.755 0.755
Ni 0.000 0.000 0.000
P 0.500 0.500 0.500
CELL_PARAMETERS angstrom
1.293 0.746 7.576
-1.293 0.746 7.576
0.000 -1.493 7.576
! * SG: R-3m
! * E_tot: -7.380 eV per atom

---

! La3CuAu3 GGA-PBE optimized geometry; values from VASP
&SYSTEM
  ibrav = 0, nat = 7, ntyp = 3
/
ATOMIC_SPECIES
La 138.91 La.upf
Cu 63.55 Cu.upf
Au 196.97 Au.upf
ATOMIC_POSITIONS crystal
La 0.000 0.000 0.000
La 0.362 0.362 0.000
La 0.683 0.183 0.500
Cu 0.250 0.750 0.500
Au 0.121 0.621 0.500
Au 0.527 0.527 0.000
Au 0.823 0.823 0.000
CELL_PARAMETERS angstrom
-2.021 2.294 9.913
2.021 -2.294 9.913
2.021 2.294 -9.913
! * SG: Imm2
! * E_tot: -4.788 eV per atom

---

! ZrAsCl2 GGA-PBE optimized geometry; values from VASP
&SYSTEM
  ibrav = 0, nat = 4, ntyp = 3
/
ATOMIC_SPECIES
Zr 91.22 Zr.upf
As 74.92 As.upf
Cl 35.45 Cl.upf
ATOMIC_POSITIONS crystal
Zr 0.000 0.000 0.000
As 0.000 0.000 0.500
Cl 0.500 0.500 0.149
Cl 0.500 0.500 0.851
CELL_PARAMETERS angstrom
3.080 0.000 0.000
0.000 3.080 0.000
0.000 0.000 10.679
! * formation energy without anion corrections: -674 meV per atom
! * SG: P4/mmm

---

! Y2TlNi GGA-PBE optimized geometry; values from VASP
&SYSTEM
  ibrav = 0, nat = 4, ntyp = 3
/
ATOMIC_SPECIES
Y 88.91 Y.upf
Tl 204.38 Tl.upf
Ni 58.69 Ni.upf
ATOMIC_POSITIONS crystal
Y 0.232 0.232 0.195
Y 0.768 0.768 0.805
Tl 0.000 0.000 0.500
Ni 0.500 0.500 0.000
CELL_PARAMETERS angstrom
3.305 -1.895 0.000
3.305 1.895 0.000
-2.161 0.000 8.345
! * SG: C2/m
! * E_tot: -5.537 eV per atom

---

! LiDy2Pd2 GGA-PBE optimized geometry; values from VASP
&SYSTEM
  ibrav = 0, nat = 10, ntyp = 3
/
ATOMIC_SPECIES
Li 6.94 Li.upf
Dy 162.50 Dy.upf
Pd 106.42 Pd.upf
ATOMIC_POSITIONS crystal
Li 0.000 0.000 0.000
Li 0.500 0.500 0.000
Dy 0.165 0.335 0.500
Dy 0.335 0.835 0.500
Dy 0.665 0.165 0.500
Dy 0.835 0.665 0.500
Pd 0.134 0.634 0.000
Pd 0.366 0.134 0.000
Pd 0.634 0.866 0.000
Pd 0.866 0.366 0.000
CELL_PARAMETERS angstrom
7.662 0.000 0.000
0.000 7.662 0.000
0.000 0.000 3.757
! * SG: P4/mbm
! * E_tot: -5.006 eV per atom